{"formula": "La2TeMo", "functional": "PBEsol", "state": "optimized geometry", "raw_formation_energy_ev_per_atom": -0.056, "m_tot_mub_per_atom": 0.000, "sg": "P4mm (99)", "lattice_angstrom": [[3.503, 0.000, 0.000], [0.000, 3.503, 0.000], [0.000, 0.000, 8.723]], "species": ["La", "La", "Te", "Mo"], "frac_coords": [[0.000, 0.000, 0.000], [0.500, 0.500, 0.366], [0.500, 0.500, 0.745], [0.000, 0.000, 0.602]]}

---

{"formula": "La2TeMo", "functional": "PBEsol", "state": "optimized geometry", "raw_formation_energy_ev_per_atom": -0.186, "m_tot_mub_per_atom": 0.195, "sg": "P4/mmm (123)", "lattice_angstrom": [[3.888, 0.000, 0.000], [0.000, 3.888, 0.000], [0.000, 0.000, 6.948]], "species": ["La", "La", "Te", "Mo"], "frac_coords": [[0.000, 0.000, 0.233], [0.000, 0.000, 0.767], [0.500, 0.500, 0.500], [0.500, 0.500, 0.000]]}

---

{"formula": "La2TeMo", "functional": "PBEsol", "state": "optimized geometry", "raw_formation_energy_ev_per_atom": -0.213, "m_tot_mub_per_atom": 0.177, "sg": "Cmmm (65)", "lattice_angstrom": [[3.182, -4.192, 0.000], [3.182, 4.192, 0.000], [0.000, 0.000, 3.750]], "species": ["La", "La", "Te", "Mo"], "frac_coords": [[0.000, 0.500, 0.000], [0.500, 0.000, 0.000], [0.000, 0.000, 0.500], [0.500, 0.500, 0.500]]}

---

{"formula": "LaTiMo2W", "functional": "PBEsol", "state": "optimized geometry", "formation_enthalpy_0k_ev_per_atom": 1.286, "m_tot_mub_per_atom": 0.000, "sg": "P4/mmm (123)", "lattice_angstrom": [[4.669, 0.000, 0.000], [0.000, 4.669, 0.000], [0.000, 0.000, 4.737]], "species": ["La", "Ti", "Mo", "Mo", "W"], "frac_coords": [[0.000, 0.000, 0.000], [0.500, 0.500, 0.500], [0.000, 0.500, 0.500], [0.500, 0.000, 0.500], [0.500, 0.500, 0.000]]}

---

{"formula": "LaTl2Mo", "functional": "PBEsol", "state": "optimized geometry", "formation_enthalpy_0k_ev_per_atom": 0.310, "m_tot_mub_per_atom": 0.000, "sg": "Imm2 (44)", "lattice_angstrom": [[-1.584, 2.403, 6.655], [1.584, -2.403, 6.655], [1.584, 2.403, -6.655]], "species": ["La", "Tl", "Tl", "Mo"], "frac_coords": [[0.000, 0.000, 0.000], [0.371, 0.371, 0.000], [0.689, 0.189, 0.500], [0.192, 0.692, 0.500]]}

---

{"formula": "La3TlMo", "functional": "PBEsol", "state": "optimized geometry", "formation_enthalpy_0k_ev_per_atom": 0.122, "m_tot_mub_per_atom": 0.000, "sg": "Pm-3m (221)", "lattice_angstrom": [[5.375, 0.000, 0.000], [0.000, 5.375, 0.000], [0.000, 0.000, 5.375]], "species": ["La", "La", "La", "Tl", "Mo"], "frac_coords": [[0.000, 0.000, 0.500], [0.000, 0.500, 0.000], [0.500, 0.000, 0.000], [0.500, 0.500, 0.500], [0.000, 0.000, 0.000]]}

---

{"formula": "LaTl2Mo", "functional": "PBEsol", "state": "optimized geometry", "formation_enthalpy_0k_ev_per_atom": 0.367, "m_tot_mub_per_atom": 0.000, "sg": "R-3m (166)", "lattice_angstrom": [[1.597, 0.922, 10.337], [-1.597, 0.922, 10.337], [0.000, -1.844, 10.337]], "species": ["La", "Tl", "Tl", "Mo"], "frac_coords": [[0.000, 0.000, 0.000], [0.241, 0.241, 0.241], [0.759, 0.759, 0.759], [0.500, 0.500, 0.500]]}

---

{"formula": "LaTl2Mo", "functional": "PBEsol", "state": "optimized geometry", "formation_enthalpy_0k_ev_per_atom": 0.326, "m_tot_mub_per_atom": 0.637, "sg": "Fm-3m (225)", "lattice_angstrom": [[0.000, 3.629, 3.629], [3.629, 0.000, 3.629], [3.629, 3.629, 0.000]], "species": ["La", "Tl", "Tl", "Mo"], "frac_coords": [[0.000, 0.000, 0.000], [0.250, 0.250, 0.250], [0.750, 0.750, 0.750], [0.500, 0.500, 0.500]]}

---

{"formula": "LaMoW2", "functional": "PBEsol", "state": "optimized geometry", "formation_enthalpy_0k_ev_per_atom": 0.719, "m_tot_mub_per_atom": 0.000, "sg": "Immm (71)", "lattice_angstrom": [[-1.583, 2.352, 4.844], [1.583, -2.352, 4.844], [1.583, 2.352, -4.844]], "species": ["La", "Mo", "W", "W"], "frac_coords": [[0.000, 0.000, 0.000], [0.500, 0.500, 0.000], [0.259, 0.759, 0.500], [0.741, 0.241, 0.500]]}

---

{"formula": "LaMoW2", "functional": "PBEsol", "state": "optimized geometry", "formation_enthalpy_0k_ev_per_atom": 0.628, "m_tot_mub_per_atom": 0.000, "sg": "F-43m (216)", "lattice_angstrom": [[0.000, 3.291, 3.291], [3.291, 0.000, 3.291], [3.291, 3.291, 0.000]], "species": ["La", "Mo", "W", "W"], "frac_coords": [[0.000, 0.000, 0.000], [0.750, 0.750, 0.750], [0.250, 0.250, 0.250], [0.500, 0.500, 0.500]]}

---

{"formula": "LaYMo4", "functional": "PBEsol", "state": "optimized geometry", "formation_enthalpy_0k_ev_per_atom": 0.243, "m_tot_mub_per_atom": 0.000, "sg": "F-43m (216)", "lattice_angstrom": [[0.000, 3.882, 3.882], [3.882, 0.000, 3.882], [3.882, 3.882, 0.000]], "species": ["La", "Y", "Mo", "Mo", "Mo", "Mo"], "frac_coords": [[0.000, 0.000, 0.000], [0.750, 0.750, 0.750], [0.375, 0.375, 0.375], [0.375, 0.375, 0.876], [0.375, 0.876, 0.375], [0.876, 0.375, 0.375]]}

---

{"formula": "LaZnMo2", "functional": "PBEsol", "state": "optimized geometry", "formation_enthalpy_0k_ev_per_atom": 0.156, "m_tot_mub_per_atom": 0.000, "sg": "Pm (6)", "lattice_angstrom": [[3.217, 0.000, 0.000], [0.000, 3.217, 0.000], [-0.008, 0.000, 7.343]], "species": ["La", "Zn", "Mo", "Mo"], "frac_coords": [[0.000, 0.000, 0.000], [0.499, 0.500, 0.681], [0.499, 0.500, 0.299], [0.998, 0.000, 0.476]]}

---

Number 4 is which compound?
LaTiMo2W

---

Copy entry 8 word for word.
{"formula": "LaTl2Mo", "functional": "PBEsol", "state": "optimized geometry", "formation_enthalpy_0k_ev_per_atom": 0.326, "m_tot_mub_per_atom": 0.637, "sg": "Fm-3m (225)", "lattice_angstrom": [[0.000, 3.629, 3.629], [3.629, 0.000, 3.629], [3.629, 3.629, 0.000]], "species": ["La", "Tl", "Tl", "Mo"], "frac_coords": [[0.000, 0.000, 0.000], [0.250, 0.250, 0.250], [0.750, 0.750, 0.750], [0.500, 0.500, 0.500]]}

---

What is the formula in the first record?
La2TeMo